No. 1
Compound: TlCdGe
Source: Alexandria via LeMat-Bulk
Functional: GGA-PBE
Structure: optimized geometry

Geometry as POSCAR:
```
TlCdGe
1.0
4.8718 0.0000 0.0000
2.4359 4.2191 0.0000
2.4359 1.4064 3.9778
Ge Tl Cd
1 1 1
direct
0.2500 0.2500 0.2500
0.5000 0.5000 0.5000
0.0000 0.0000 0.0000
```

Properties
excess energy over the best structure of this formula in the dataset = 75 meV/atom
ΔE_f = 0.206 eV/atom
size of the total moment = 0.00 μB/f.u.
crystal system = cubic
calculated density = 7.9 g cm⁻³



No. 2
Compound: Lu2FeAg
Source: Alexandria via LeMat-Bulk
Functional: GGA-PBE
Structure: optimized geometry

Geometry as POSCAR:
```
Lu2FeAg
1.0
3.3056 0.0000 0.0000
1.6528 2.8627 0.0000
1.6528 0.9542 9.5330
Fe Lu Ag
1 2 1
direct
0.5000 0.5000 0.5000
0.1018 0.1018 0.6947
0.8982 0.8982 0.3053
0.0000 0.0000 0.0000
```

Properties
excess energy over the best structure of this formula in the dataset = 481 meV/atom
ΔE_f = 0.294 eV/atom
size of the total moment = 0.80 μB/f.u.
crystal system = trigonal
calculated density = 9.5 g cm⁻³



No. 3
Compound: ZrAlBr2
Source: Alexandria via LeMat-Bulk
Functional: GGA-PBE
Structure: optimized geometry

Geometry as POSCAR:
```
ZrAlBr2
1.0
-1.3153 -1.3804 2.9605
-2.2532 -1.9272 -1.8997
5.5952 -6.1605 -0.3866
Al Br Zr
1 2 1
direct
0.5000 0.5000 0.7137
0.0000 0.0000 0.8998
0.5000 0.5000 0.3390
0.0000 0.0000 0.5475
```

Properties
excess energy over the best structure of this formula in the dataset = 135 meV/atom
uncorrected formation energy = -0.58 eV per atom
size of the total moment = 0.00 μB/f.u.
crystal system = tetragonal
calculated density = 4.5 g cm⁻³



No. 4
Compound: CeGd2Te
Source: Alexandria via LeMat-Bulk
Functional: GGA-PBE
Structure: optimized geometry

Geometry as POSCAR:
```
CeGd2Te
1.0
3.8832 0.0000 0.0000
0.0000 3.8832 0.0000
0.0000 0.0000 7.8531
Ce Te Gd
1 1 2
direct
0.5000 0.5000 0.0000
0.5000 0.5000 0.5000
0.0000 0.0000 0.2760
0.0000 0.0000 0.7240
```

Properties
excess energy over the best structure of this formula in the dataset = 0 meV/atom
uncorrected formation energy = -0.54 eV per atom
size of the total moment = 13.64 μB/f.u.
crystal system = tetragonal
calculated density = 8.2 g cm⁻³



No. 5
Compound: PmSmGa4
Source: Alexandria via LeMat-Bulk
Functional: GGA-PBE
Structure: optimized geometry

Geometry as POSCAR:
```
PmSmGa4
1.0
4.0534 0.0000 -1.2516
-0.3865 4.0349 -1.2516
0.2472 0.2721 7.9900
Ga Pm Sm
4 1 1
direct
0.5831 0.5831 0.1662
0.4169 0.4169 0.8338
0.8328 0.3328 0.6657
0.6672 0.1672 0.3343
0.0000 0.0000 0.0000
0.2500 0.7500 0.5000
```

Properties
excess energy over the best structure of this formula in the dataset = 11 meV/atom
ΔE_f = -0.677 eV/atom
size of the total moment = 0.00 μB/f.u.
crystal system = tetragonal
calculated density = 7.1 g cm⁻³



No. 6
Compound: Ce4Dy3Ge4
Source: Alexandria via LeMat-Bulk
Functional: GGA-PBE
Structure: optimized geometry

Geometry as POSCAR:
```
Ce4Dy3Ge4
1.0
-3.6608 1.3322 0.2353
-1.4051 -2.2255 -9.2601
0.1304 -6.5153 6.5502
Ge Dy Ce
4 3 4
direct
0.5000 0.2176 0.0000
0.5000 0.7824 0.0000
0.2428 0.7428 0.4856
0.7572 0.2572 0.5144
0.8949 0.8949 0.7899
0.1051 0.1051 0.2101
0.0000 0.5000 0.0000
0.6904 0.4745 0.3807
0.3096 0.5255 0.6193
0.3096 0.0938 0.6193
0.6904 0.9062 0.3807
```

Properties
ΔE_f = -0.465 eV/atom
size of the total moment = 0.00 μB/f.u.
crystal system = orthorhombic
calculated density = 7.7 g cm⁻³



Repeat the third record exactly.
Compound: ZrAlBr2
Source: Alexandria via LeMat-Bulk
Functional: GGA-PBE
Structure: optimized geometry

Geometry as POSCAR:
```
ZrAlBr2
1.0
-1.3153 -1.3804 2.9605
-2.2532 -1.9272 -1.8997
5.5952 -6.1605 -0.3866
Al Br Zr
1 2 1
direct
0.5000 0.5000 0.7137
0.0000 0.0000 0.8998
0.5000 0.5000 0.3390
0.0000 0.0000 0.5475
```

Properties
excess energy over the best structure of this formula in the dataset = 135 meV/atom
uncorrected formation energy = -0.58 eV per atom
size of the total moment = 0.00 μB/f.u.
crystal system = tetragonal
calculated density = 4.5 g cm⁻³



Q: Which value of size of the total moment does entry 6 give?
A: 0.00 μB/f.u.



Q: size of the total moment of number 6 (Ce4Dy3Ge4)?
A: 0.00 μB/f.u.